DFT (PBE) results for a relaxed SrCd2Se crystal.

Geometry as POSCAR:
```
SrCd2Se
1.0
4.319 0.000 0.000
0.000 4.319 0.000
0.000 0.000 6.219
Sr Cd Se
1 2 1
direct
0.000 0.000 0.000 Sr
0.000 0.500 0.500 Cd
0.500 0.000 0.500 Cd
0.500 0.500 0.000 Se
```

Properties
Calculated density   5.6 g cm⁻³
Energy   -0.1831 Ry per atom
Space-group type   P4/mmm
Spin magnetization   0.0 μB per formula unit